Record 1
# PaPtRhO6

A geometry-optimized PaPtRhO6 structure (PBE, the Alexandria database).

Results
- energy relative to the elements, uncorrected (eV/atom) = -1.640

abc: 5.3210 5.3210 9.0526
angles: 90.00 90.00 120.00
Space group P-31c (No. 163)
Asymmetric unit:
Pa (0.3333, 0.6667, 0.2500)
Pt (0.3333, 0.6667, 0.7500)
Rh (0.0000, 0.0000, 0.0000)
O (0.0142, 0.3350, 0.6231)

Record 2
# PaRuPtO6

A geometry-optimized PaRuPtO6 structure (PBE, the Alexandria database).

Results
- Fermi-level density of states (states/eV/cell) = 2.8
- energy relative to the elements, uncorrected (eV/atom) = -1.676

abc: 5.3000 5.3000 9.1591
angles: 90.00 90.00 120.00
Space group P-31c (No. 163)
Asymmetric unit:
Pa (0.3333, 0.6667, 0.2500)
Ru (0.0000, 0.0000, 0.0000)
Pt (0.3333, 0.6667, 0.7500)
O (0.0104, 0.3254, 0.6225)

Question: What is the energy relative to the elements, uncorrected in the second record?
Answer: -1.676 eV/atom

Question: The highest energy relative to the elements, uncorrected belongs to which entry?
Answer: PaPtRhO6

Question: Which of these has the highest energy relative to the elements, uncorrected?
Answer: PaPtRhO6